Record 1
Material: ScPa3H
Method: DFT, PBE
State: relaxed

Output
Total magnetic moment: 0.000 μB per formula unit
Calculated volume: 20.72 A^3/atom
D(E_F): 6.91 states/eV/f.u.
E: -7.606 eV/atom

Cell: 4.697 4.697 4.697 Å, 90.00 90.00 90.00°
Fractional coordinates of all 5 atoms:
1 Sc 0.500 0.500 0.500
2 Pa 0.500 0.000 0.000
3 Pa 0.000 0.000 0.500
4 Pa 0.000 0.500 0.000
5 H 0.000 0.000 0.000

=====

Record 2
Material: CeGePt2
Method: DFT, PBE
State: relaxed

Output
Total magnetic moment: 0.174 μB per formula unit
Energy relative to the elements: -0.62 eV/atom
Calculated volume: 20.58 A^3/atom
D(E_F): 4.61 states/eV/f.u.
E: -6.274 eV/atom

Cell: 4.067 5.725 4.552 Å, 129.04 90.01 90.00°
Last column: magnetic moment on the atom in μB.
Fractional coordinates of all 4 atoms:
1 Ce 0.500 0.500 0.000  0.13
2 Ge 0.500 0.000 0.000  0.01
3 Pt 0.000 0.214 0.428  0.00
4 Pt 0.000 0.786 0.572  0.00

=====

Record 3
Material: ErTiAu2
Method: DFT, PBE
State: relaxed

Output
Total magnetic moment: 1.490 μB per formula unit
Energy relative to the elements: -0.53 eV/atom
Calculated volume: 20.19 A^3/atom
D(E_F): 4.82 states/eV/f.u.
E: -5.288 eV/atom

Cell: 3.495 4.807 4.807 Å, 90.00 90.00 90.00°
Last column: magnetic moment on the atom in μB.
Fractional coordinates of all 4 atoms:
1 Au 0.000 0.500 0.000  0.03
2 Au 0.000 0.000 0.500  0.03
3 Er 0.500 0.500 0.500  0.06
4 Ti 0.500 0.000 0.000  1.10

=====

Record 4
Material: LaTb2Cd2Sn2
Method: DFT, PBE
State: relaxed

Output
Total magnetic moment: 0.000 μB per formula unit
Energy relative to the elements: -0.35 eV/atom
Calculated volume: 28.00 A^3/atom
D(E_F): 6.26 states/eV/f.u.
E: -3.783 eV/atom

Cell: 5.037 5.037 9.385 Å, 74.43 74.43 60.00°
Fractional coordinates of all 7 atoms:
1 Tb 0.867 0.867 0.400
2 Tb 0.133 0.133 0.600
3 Sn 0.264 0.264 0.207
4 Sn 0.736 0.736 0.793
5 Cd 0.428 0.428 0.715
6 Cd 0.572 0.572 0.285
7 La 0.000 0.000 0.000

=====

Record 5
Material: CaCd2W
Method: DFT, PBE
State: relaxed

Output
Total magnetic moment: 0.962 μB per formula unit
Energy relative to the elements: 0.69 eV/atom
Calculated volume: 21.53 A^3/atom
D(E_F): 3.34 states/eV/f.u.
E: -3.509 eV/atom

Cell: 5.611 5.611 5.611 Å, 135.30 135.30 65.06°
Last column: magnetic moment on the atom in μB.
Fractional coordinates of all 4 atoms:
1 Ca 0.750 0.250 0.500  0.03
2 Cd 0.250 0.750 0.500  0.01
3 Cd 0.000 0.000 0.000  -0.01
4 W 0.500 0.500 0.000  0.70

=====

Record 6
Material: Pr2SeCl2
Method: DFT, PBE
State: relaxed

Output
Total magnetic moment: 0.000 μB per formula unit
Calculated volume: 29.29 A^3/atom
D(E_F): 2.48 states/eV/f.u.
E_form (uncorrected): -1864 meV/atom
E: -5.212 eV/atom

Cell: 7.255 7.901 10.852 Å, 90.00 70.32 90.00°
Fractional coordinates of all 20 atoms:
1 Cl 0.005 0.630 0.333
2 Cl 0.384 0.718 0.027
3 Cl 0.116 0.218 0.973
4 Cl 0.995 0.370 0.667
5 Cl 0.884 0.782 0.027
6 Cl 0.616 0.282 0.973
7 Cl 0.495 0.130 0.667
8 Cl 0.505 0.870 0.333
9 Pr 0.250 0.130 0.490
10 Pr 0.750 0.870 0.510
11 Pr 0.255 0.384 0.172
12 Pr 0.745 0.616 0.828
13 Pr 0.755 0.116 0.172
14 Pr 0.250 0.630 0.510
15 Pr 0.245 0.884 0.828
16 Pr 0.750 0.370 0.490
17 Se 0.477 0.599 0.685
18 Se 0.523 0.401 0.315
19 Se 0.023 0.099 0.315
20 Se 0.977 0.901 0.685

=====

Record 7
Material: TaBOs3
Method: DFT, PBE
State: relaxed

Output
Total magnetic moment: 2.993 μB per formula unit
Energy relative to the elements: 3.18 eV/atom
Calculated volume: 21.89 A^3/atom
D(E_F): 6.58 states/eV/f.u.
E: -7.264 eV/atom

Cell: 4.784 4.784 4.784 Å, 90.00 90.00 90.00°
Last column: magnetic moment on the atom in μB.
Fractional coordinates of all 5 atoms:
1 Ta 0.000 0.000 0.000  -0.13
2 Os 0.500 0.000 0.000  0.88
3 Os 0.000 0.500 0.000  1.00
4 Os 0.000 0.000 0.500  1.11
5 B 0.500 0.500 0.500  -0.03

=====

Record 8
Material: CuSBrO
Method: DFT, PBE
State: relaxed

Output
Total magnetic moment: 0.000 μB per formula unit
Calculated volume: 22.32 A^3/atom
D(E_F): 0.00 states/eV/f.u.
E_form (uncorrected): -423 meV/atom
E: -4.137 eV/atom

Cell: 6.670 5.732 5.615 Å, 100.43 78.60 63.17°
Fractional coordinates of all 8 atoms:
1 O 0.922 0.066 0.804
2 O 0.942 0.117 0.252
3 S 0.855 0.019 0.061
4 S 0.254 0.509 0.277
5 Br 0.555 0.713 0.774
6 Br 0.336 0.217 0.533
7 Cu 0.574 0.372 0.971
8 Cu 0.304 0.815 0.502

=====

Question: Which formula does entry 3 have?
Answer: ErTiAu2